(1)
First-principles (PBE) data for a relaxed structure of PrGaAg2, as listed in Alexandria via LeMat-Bulk.

Unit cell a=6.9750 b=5.8614 c=5.8614 alpha=46.88 beta=90.00 gamma=90.00
Last column: nearest neighbours and their distance in Å.
Positions (direct):
1 Pr 0.0000 0.0000 0.0000  7 Ag 3.11-3.25, 2 Ga 3.26
2 Pr 0.5000 0.1901 0.1901  9 Ag 3.16-3.52, 4 Ga 3.19
3 Ga 0.1916 0.7235 0.7235  1 Ga 2.67, 4 Ag 2.70-2.79
4 Ga 0.8084 0.7235 0.7235  1 Ga 2.67, 4 Ag 2.70-2.79
5 Ag 0.0000 0.2889 0.2889  4 Ga 2.78, 2 Ag 2.95, 1 Pr 3.11
6 Ag 0.3000 0.4822 0.4822  1 Ga 2.70, 4 Ag 2.79-2.95
7 Ag 0.5000 0.8881 0.8881  2 Ga 2.79, 4 Ag 2.90
8 Ag 0.7000 0.4822 0.4822  1 Ga 2.70, 4 Ag 2.79-2.95

Summary:
- excess energy over the best structure of this formula in the dataset (eV/f.u.) = 0.000
- raw total energy (eV for the cell shown) = -29.71
- Fermi-level density of states (states/eV/atom) = 0.62
- formation enthalpy at 0 K (eV per atom) = -0.337
- calculated volume (Å³ per cell) = 174.9

---

(2)
First-principles (PBE) data for a relaxed structure of Pr2Ga3Ag5, as listed in Alexandria via LeMat-Bulk.

Unit cell a=8.6912 b=8.6912 c=6.1575 alpha=106.51 beta=106.51 gamma=83.89
Last column: nearest neighbours and their distance in Å.
Positions (direct):
1 Pr 0.0951 0.6355 0.8527  6 Ag 3.18-3.46, 5 Ga 3.22-3.46
2 Pr 0.3645 0.9049 0.6473  6 Ag 3.18-3.46, 5 Ga 3.22-3.46
3 Pr 0.6355 0.0951 0.3527  6 Ag 3.18-3.46, 5 Ga 3.22-3.46
4 Pr 0.9049 0.3645 0.1473  6 Ag 3.18-3.46, 5 Ga 3.22-3.46
5 Ga 0.0005 0.2598 0.6304  5 Ag 2.60-2.70
6 Ga 0.9995 0.7402 0.3696  5 Ag 2.60-2.70
7 Ga 0.2598 0.0005 0.1304  5 Ag 2.60-2.70
8 Ga 0.4685 0.5315 0.7500  6 Ag 2.66-2.88
9 Ga 0.5315 0.4685 0.2500  6 Ag 2.66-2.88
10 Ga 0.7402 0.9995 0.8696  5 Ag 2.60-2.70
11 Ag 0.0089 0.9911 0.7500  4 Ga 2.63-2.70
12 Ag 0.2514 0.5526 0.3523  3 Ga 2.60-2.67, 2 Ag 2.84-2.87
13 Ag 0.2624 0.2656 0.9916  3 Ga 2.68-2.88, 2 Ag 2.84-2.87
14 Ag 0.2656 0.2624 0.4916  3 Ga 2.68-2.88, 2 Ag 2.84-2.87
15 Ag 0.4474 0.7486 0.1477  3 Ga 2.60-2.67, 2 Ag 2.84-2.87
16 Ag 0.5526 0.2514 0.8523  3 Ga 2.60-2.67, 2 Ag 2.84-2.87
17 Ag 0.7344 0.7376 0.5084  3 Ga 2.68-2.88, 2 Ag 2.84-2.87
18 Ag 0.7376 0.7344 0.0084  3 Ga 2.68-2.88, 2 Ag 2.84-2.87
19 Ag 0.7486 0.4474 0.6477  3 Ga 2.60-2.67, 2 Ag 2.84-2.87
20 Ag 0.9911 0.0089 0.2500  4 Ga 2.63-2.70

Summary:
- raw total energy (eV for the cell shown) = -71.78
- Fermi-level density of states (states/eV/atom) = 0.60
- formation enthalpy at 0 K (eV per atom) = -0.300
- calculated volume (Å³ per cell) = 427.4

---

(3)
First-principles (PBE) data for a relaxed structure of Pr6Ga3Ag, as listed in Alexandria via LeMat-Bulk.

Unit cell a=7.7945 b=8.2146 c=12.1938 alpha=90.00 beta=128.88 gamma=90.00
Last column: nearest neighbours and their distance in Å.
Positions (direct):
1 Pr 0.0143 0.1039 0.2455  3 Ga 3.05-3.17, 1 Ag 3.15
2 Pr 0.0143 0.3961 0.7455  3 Ga 3.05-3.17, 1 Ag 3.15
3 Pr 0.2181 0.6706 0.0644  3 Ga 3.03-3.31, 1 Ag 3.09
4 Pr 0.2181 0.8294 0.5644  3 Ga 3.03-3.31, 1 Ag 3.09
5 Pr 0.4052 0.1716 0.0709  3 Ga 3.05-3.21, 1 Ag 3.06
6 Pr 0.4052 0.3284 0.5709  3 Ga 3.05-3.21, 1 Ag 3.06
7 Pr 0.5948 0.6716 0.4291  3 Ga 3.05-3.21, 1 Ag 3.06
8 Pr 0.5948 0.8284 0.9291  3 Ga 3.05-3.21, 1 Ag 3.06
9 Pr 0.7819 0.1706 0.4356  3 Ga 3.03-3.31, 1 Ag 3.09
10 Pr 0.7819 0.3294 0.9356  3 Ga 3.03-3.31, 1 Ag 3.09
11 Pr 0.9857 0.6039 0.2545  3 Ga 3.05-3.17, 1 Ag 3.15
12 Pr 0.9857 0.8961 0.7545  3 Ga 3.05-3.17, 1 Ag 3.15
13 Ga 0.0000 0.0000 0.0000  6 Pr 3.03-3.05
14 Ga 0.0000 0.5000 0.5000  6 Pr 3.03-3.05
15 Ga 0.3063 0.1328 0.7538  8 Pr 3.09-3.46
16 Ga 0.3063 0.3672 0.2538  8 Pr 3.09-3.46
17 Ga 0.6937 0.6328 0.7462  8 Pr 3.09-3.46
18 Ga 0.6937 0.8672 0.2462  8 Pr 3.09-3.46
19 Ag 0.5000 0.0000 0.5000  6 Pr 3.06-3.15
20 Ag 0.5000 0.5000 0.0000  6 Pr 3.06-3.15

Summary:
- raw total energy (eV for the cell shown) = -85.95
- Fermi-level density of states (states/eV/atom) = 0.94
- formation enthalpy at 0 K (eV per atom) = -0.237
- calculated volume (Å³ per cell) = 607.8

---

(4)
First-principles (PBE) data for a relaxed structure of PrGa3Ag, as listed in Alexandria via LeMat-Bulk.

Unit cell a=4.3332 b=4.3332 c=6.3151 alpha=109.99 beta=109.99 gamma=90.05
Last column: nearest neighbours and their distance in Å.
Positions (direct):
1 Pr 0.0000 0.0000 0.0000  8 Ga 3.23-3.39, 4 Ag 3.40
2 Ga 0.2337 0.7359 0.4710  2 Ag 2.61, 2 Ga 2.67
3 Ga 0.5933 0.5933 0.1891  1 Ag 2.52, 4 Ga 2.67
4 Ga 0.7359 0.2337 0.4710  2 Ag 2.61, 2 Ga 2.67
5 Ag 0.3667 0.3667 0.7330  5 Ga 2.52-2.61

Summary:
- excess energy over the best structure of this formula in the dataset (eV/f.u.) = 0.000
- raw total energy (eV for the cell shown) = -18.97
- Fermi-level density of states (states/eV/atom) = 0.32
- formation enthalpy at 0 K (eV per atom) = -0.452
- calculated volume (Å³ per cell) = 103.8